1.
Density functional theory data (GGA-PBE) for a relaxed structure of Tb2Ag2TeS3.

The structure in POSCAR format:
```
Tb2Ag2TeS3
1.0
4.9290 -4.5955 0.0000
4.9290 4.5955 0.0000
-0.1541 0.0000 4.2504
Ag S Tb Te
2 3 2 1
Cartesian
2.4483 -2.2877 0.1517 Ag
2.4483 2.2877 0.1517 Ag
4.8998 -2.7698 1.1113 S
4.8998 2.7698 1.1113 S
6.8087 0.0000 3.1369 S
5.1015 0.0000 0.8924 Tb
9.5721 0.0000 3.2898 Tb
2.7893 0.0000 2.9060 Te
```

Computed properties:
- E (eV/atom) = -5.015
- symmetry = Cm
- V (Å³/atom) = 24.07
- total magnetization (μB per formula unit) = 0.00

=====

2.
Density functional theory data (GGA-PBE) for a relaxed structure of Tb2Ag2Te3S.

The structure in POSCAR format:
```
Tb2Ag2Te3S
1.0
-5.3339 -4.5879 -0.3266
2.7420 -2.8025 5.8509
-2.5225 2.8458 2.4752
Ag S Tb Te
2 1 2 3
Cartesian
-2.8039 -2.3011 -0.0983 Ag
1.3428 -1.3844 3.0736 Ag
-1.4389 -1.4400 2.2973 S
-0.5296 0.4615 0.5590 Tb
-3.1873 -1.1893 4.5105 Tb
-2.5333 -4.3099 4.5574 Te
-5.4735 -2.2608 2.7311 Te
-0.7193 -1.2097 6.3678 Te
```

Computed properties:
- E (eV/atom) = -4.571
- symmetry = Cm
- V (Å³/atom) = 28.05
- total magnetization (μB per formula unit) = 0.00